A plane-wave DFT calculation with PBE-GGA was carried out for a geometry-optimized KHoAu2I6 structure.

a = 7.904 Å, b = 7.908 Å, c = 9.359 Å
α = 65.05°, β = 65.06°, γ = 60.02°
Sites, in units of the cell vectors:
K 0.000 0.000 0.000
Ho 0.500 0.500 0.500
Au 0.236 0.235 0.294
Au 0.764 0.765 0.706
I 0.116 0.733 0.721
I 0.267 0.570 0.279
I 0.429 0.117 0.721
I 0.571 0.883 0.279
I 0.733 0.430 0.721
I 0.884 0.267 0.279

Output
* Fermi-level density of states: 0.00 states/eV/atom
* electronic total energy: -2.960 eV per atom
* space group: P-1 (2)

***

A plane-wave DFT calculation with PBE-GGA was carried out for a geometry-optimized LaSc5 structure.

a = 5.852 Å, b = 5.852 Å, c = 5.328 Å
α = 90.00°, β = 90.00°, γ = 120.00°
Sites, in units of the cell vectors:
La 0.000 0.000 0.000
Sc 0.000 0.339 0.500
Sc 0.333 0.667 0.000
Sc 0.339 0.000 0.500
Sc 0.661 0.661 0.500
Sc 0.667 0.333 0.000

Output
* formation energy from the elements: 0.057 eV per atom
* Fermi-level density of states: 2.13 states/eV/atom
* space group: P-62m (189)